# 1
VASP calculation (PBE) on an optimized crystal structure of TaZn2Ru.

Calculated values
N(E_F) = 7.963 states/eV/cell
Calculated volume = 125.8 Å³ per cell
E_form = 0.0500 eV/atom

Unit cell a=3.1368 b=4.6200 c=8.6819 alpha=90.00 beta=90.00 gamma=90.00
Fractional positions:
Ta: 0.0000 0.0000 0.0000
Ta: 0.5000 0.5000 0.0000
Zn: 0.0000 0.0000 0.5146
Zn: 0.0000 0.5000 0.2654
Zn: 0.5000 0.0000 0.2654
Zn: 0.5000 0.5000 0.5146
Ru: 0.0000 0.5000 0.7577
Ru: 0.5000 0.0000 0.7577

=====

# 2
VASP calculation (PBE) on an optimized crystal structure of CsKLi2.

Calculated values
N(E_F) = 9.840 states/eV/cell
Calculated volume = 852.8 Å³ per cell
E_form = 0.2768 eV/atom

Unit cell a=10.4801 b=10.4801 c=7.7646 alpha=90.00 beta=90.00 gamma=90.00
Fractional positions:
Cs: 0.0000 0.0000 0.0000
Cs: 0.0000 0.5000 0.2500
Cs: 0.5000 0.0000 0.7500
Cs: 0.5000 0.5000 0.5000
K: 0.0000 0.0000 0.5000
K: 0.0000 0.5000 0.7500
K: 0.5000 0.0000 0.2500
K: 0.5000 0.5000 0.0000
Li: 0.2338 0.2500 0.6250
Li: 0.2500 0.7338 0.8750
Li: 0.2500 0.7662 0.3750
Li: 0.2662 0.2500 0.1250
Li: 0.7338 0.7500 0.1250
Li: 0.7500 0.2338 0.3750
Li: 0.7500 0.2662 0.8750
Li: 0.7662 0.7500 0.6250

=====

# 3
VASP calculation (PBE) on an optimized crystal structure of Rb3La3ZrSe8.

Calculated values
N(E_F) = 0.000 states/eV/cell
Calculated volume = 529.9 Å³ per cell
Energy relative to the elements, uncorrected = -1.71 eV per atom

Unit cell a=8.6691 b=8.6691 c=9.5620 alpha=117.00 beta=117.00 gamma=59.98
Fractional positions:
Rb: 0.0000 0.0000 0.0000
Rb: 0.0000 0.5000 0.0000
Rb: 0.5000 0.0000 0.0000
La: 0.0000 0.5000 0.5000
La: 0.5000 0.0000 0.5000
La: 0.5000 0.5000 0.5000
Zr: 0.0000 0.0000 0.5000
Se: 0.2159 0.2159 0.6890
Se: 0.2159 0.7575 0.6890
Se: 0.2425 0.7841 0.3110
Se: 0.2655 0.2655 0.2967
Se: 0.7345 0.7345 0.7033
Se: 0.7575 0.2159 0.6890
Se: 0.7841 0.2425 0.3110
Se: 0.7841 0.7841 0.3110

=====

# 4
VASP calculation (PBE) on an optimized crystal structure of CrSbSe2.

Calculated values
N(E_F) = 5.697 states/eV/cell
Calculated volume = 183.1 Å³ per cell
Energy relative to the elements, uncorrected = -0.13 eV per atom

Unit cell a=3.8729 b=4.7446 c=9.9660 alpha=90.00 beta=90.00 gamma=90.00
Fractional positions:
Cr: 0.0000 0.0000 0.0000
Cr: 0.0000 0.5000 0.5000
Sb: 0.5000 0.0000 0.1898
Sb: 0.5000 0.5000 0.6898
Se: 0.0000 0.0000 0.5125
Se: 0.0000 0.5000 0.0125
Se: 0.5000 0.0000 0.8335
Se: 0.5000 0.5000 0.3335

=====

# 5
VASP calculation (PBE) on an optimized crystal structure of NdSmSc2.

Calculated values
N(E_F) = 4.971 states/eV/cell
Calculated volume = 116.4 Å³ per cell
E_form = 0.0504 eV/atom

Unit cell a=3.5771 b=3.5771 c=9.0967 alpha=90.00 beta=90.00 gamma=90.00
Fractional positions:
Nd: 0.0000 0.0000 0.0000
Sm: 0.0000 0.0000 0.5000
Sc: 0.5000 0.5000 0.2517
Sc: 0.5000 0.5000 0.7483

=====

# 6
VASP calculation (PBE) on an optimized crystal structure of OsC2.

Calculated values
N(E_F) = 5.088 states/eV/cell
Calculated volume = 134.9 Å³ per cell
E_form = 1.3055 eV/atom

Unit cell a=5.0428 b=5.6022 c=4.7737 alpha=90.00 beta=90.00 gamma=90.00
Fractional positions:
Os: 0.0000 0.1197 0.2500
Os: 0.0000 0.8803 0.7500
Os: 0.5000 0.3803 0.7500
Os: 0.5000 0.6197 0.2500
C: 0.1372 0.2321 0.7500
C: 0.1372 0.7679 0.2500
C: 0.3628 0.2679 0.2500
C: 0.3628 0.7321 0.7500
C: 0.6372 0.2679 0.2500
C: 0.6372 0.7321 0.7500
C: 0.8628 0.2321 0.7500
C: 0.8628 0.7679 0.2500

=====

# 7
VASP calculation (PBE) on an optimized crystal structure of Sm4Ga2Hg.

Calculated values
N(E_F) = 7.578 states/eV/cell
Calculated volume = 194.0 Å³ per cell
E_form = -0.4037 eV/atom

Unit cell a=8.8400 b=8.8400 c=8.8400 alpha=34.14 beta=34.14 gamma=34.14
Fractional positions:
Sm: 0.1175 0.1175 0.1175
Sm: 0.3699 0.3699 0.3699
Sm: 0.6301 0.6301 0.6301
Sm: 0.8825 0.8825 0.8825
Ga: 0.2484 0.2484 0.2484
Ga: 0.7516 0.7516 0.7516
Hg: 0.5000 0.5000 0.5000

=====

# 8
VASP calculation (PBE) on an optimized crystal structure of TcAg3Ge.

Calculated values
N(E_F) = 2.675 states/eV/cell
Calculated volume = 111.9 Å³ per cell
E_form = 1.1204 eV/atom

Unit cell a=4.8181 b=4.8181 c=4.8181 alpha=90.00 beta=90.00 gamma=90.00
Fractional positions:
Tc: 0.0000 0.0000 0.0000
Ag: 0.0000 0.5000 0.5000
Ag: 0.5000 0.0000 0.5000
Ag: 0.5000 0.5000 0.0000
Ge: 0.5000 0.5000 0.5000

=====

# 9
VASP calculation (PBE) on an optimized crystal structure of TmSc5Cd3.

Calculated values
N(E_F) = 12.188 states/eV/cell
Calculated volume = 425.3 Å³ per cell
E_form = -0.1816 eV/atom

Unit cell a=8.6877 b=8.6877 c=6.5061 alpha=90.00 beta=90.00 gamma=120.00
Fractional positions:
Tm: 0.0000 0.0000 0.0000
Tm: 0.0000 0.0000 0.5000
Sc: 0.0000 0.3387 0.2500
Sc: 0.0000 0.6613 0.7500
Sc: 0.3333 0.6667 0.0000
Sc: 0.3333 0.6667 0.5000
Sc: 0.3387 0.0000 0.2500
Sc: 0.3387 0.3387 0.7500
Sc: 0.6613 0.0000 0.7500
Sc: 0.6613 0.6613 0.2500
Sc: 0.6667 0.3333 0.0000
Sc: 0.6667 0.3333 0.5000
Cd: 0.0000 0.3328 0.7500
Cd: 0.0000 0.6672 0.2500
Cd: 0.3328 0.0000 0.7500
Cd: 0.3328 0.3328 0.2500
Cd: 0.6672 0.0000 0.2500
Cd: 0.6672 0.6672 0.7500

=====

# 10
VASP calculation (PBE) on an optimized crystal structure of BaCr2Hg.

Calculated values
N(E_F) = 6.113 states/eV/cell
Calculated volume = 215.3 Å³ per cell
E_form = 0.8931 eV/atom

Unit cell a=6.5899 b=10.7037 c=3.4755 alpha=90.00 beta=118.55 gamma=90.00
Fractional positions:
Ba: 0.0000 0.0000 0.0000
Ba: 0.5000 0.5000 0.0000
Cr: 0.2500 0.2500 0.5000
Cr: 0.2500 0.7500 0.5000
Cr: 0.7500 0.2500 0.5000
Cr: 0.7500 0.7500 0.5000
Hg: 0.0000 0.5000 0.0000
Hg: 0.5000 0.0000 0.0000

=====

# 11
VASP calculation (PBE) on an optimized crystal structure of LiGa3N.

Calculated values
N(E_F) = 2.815 states/eV/cell
Calculated volume = 92.5 Å³ per cell
Energy relative to the elements, uncorrected = 1.13 eV per atom

Unit cell a=4.5219 b=4.5219 c=4.5219 alpha=90.00 beta=90.00 gamma=90.00
Fractional positions:
Li: 0.0000 0.0000 0.0000
Ga: 0.0000 0.0000 0.5000
Ga: 0.0000 0.5000 0.0000
Ga: 0.5000 0.0000 0.0000
N: 0.5000 0.5000 0.5000

=====

# 12
VASP calculation (PBE) on an optimized crystal structure of Ho4Mg7In.

Calculated values
N(E_F) = 10.532 states/eV/cell
Calculated volume = 327.4 Å³ per cell
E_form = 0.0978 eV/atom

Unit cell a=6.2018 b=6.2018 c=11.5651 alpha=110.78 beta=110.78 gamma=53.33
Fractional positions:
Ho: 0.0491 0.0491 0.3646
Ho: 0.3748 0.3748 0.2176
Ho: 0.6252 0.6252 0.7824
Ho: 0.9509 0.9509 0.6354
Mg: 0.0000 0.0000 0.0000
Mg: 0.2173 0.2173 0.9195
Mg: 0.2743 0.2743 0.6885
Mg: 0.3654 0.3654 0.4829
Mg: 0.6346 0.6346 0.5171
Mg: 0.7257 0.7257 0.3115
Mg: 0.7827 0.7827 0.0805
In: 0.5000 0.5000 0.0000